No. 1
SrNiSb2Te: relaxed, PBE.

Volume = 140.8 Å³/cell
D(E_F) = 5.1 states/eV/cell
ΔE to the lowest computed polymorph = 0.0 meV per atom

Cell: 4.9938 4.9938 5.6471 Å, 90.00 90.00 90.00°
Fractional coordinates of all 5 atoms:
1 Sr 0.5000 0.5000 0.5000
2 Te 0.0000 0.0000 0.5000
3 Ni 0.0000 0.0000 0.0000
4 Sb 0.0000 0.5000 0.0000
5 Sb 0.5000 0.0000 0.0000

---

No. 2
Fe3ReSe: relaxed, PBE.

Volume = 94.1 Å³/cell
D(E_F) = 6.6 states/eV/cell
ΔE to the lowest computed polymorph = 253.1 meV per atom

Cell: 4.5477 4.5477 4.5477 Å, 90.00 90.00 90.00°
Last column: magnetic moment on the atom in μB.
Fractional coordinates of all 5 atoms:
1 Fe 0.0000 0.0000 0.5000  2.29
2 Fe 0.5000 0.0000 0.0000  1.81
3 Fe 0.0000 0.5000 0.0000  2.17
4 Se 0.5000 0.5000 0.5000  0.10
5 Re 0.0000 0.0000 0.0000  -0.37

---

No. 3
PmHf2Tc9: relaxed, PBE.

Formation energy from the elements = -0.1298 eV per atom
Volume = 208.4 Å³/cell
D(E_F) = 14.2 states/eV/cell

Cell: 5.2732 5.2732 9.1758 Å, 73.30 73.30 60.00°
Fractional coordinates of all 12 atoms:
1 Pm 0.0000 0.0000 0.0000
2 Tc 0.4087 0.9243 0.2583
3 Tc 0.5000 0.5000 0.5000
4 Tc 0.5913 0.0757 0.7417
5 Tc 0.0757 0.5913 0.7417
6 Tc 0.3365 0.3365 0.9905
7 Tc 0.9243 0.4087 0.2583
8 Tc 0.5913 0.5913 0.7417
9 Tc 0.6635 0.6635 0.0095
10 Tc 0.4087 0.4087 0.2583
11 Hf 0.1432 0.1432 0.5704
12 Hf 0.8568 0.8568 0.4296

---

Question: What is the formula in the second record?
Answer: Fe3ReSe